The following is a PBE calculation of NpAl4Ni15 after structural relaxation, from Alexandria.

Structure (extended XYZ):
```
20
Lattice="3.645 0.000 0.000 0.000 3.645 0.000 0.000 0.000 17.715" Properties=species:S:1:pos:R:3 pbc="T T T"
Np 0.000 0.000 0.000
Al 0.000 0.000 3.733
Al 0.000 0.000 7.141
Al 0.000 0.000 10.573
Al 0.000 0.000 13.981
Ni 0.000 1.822 1.933
Ni 0.000 1.822 5.425
Ni 0.000 1.822 8.857
Ni 0.000 1.822 12.289
Ni 0.000 1.822 15.782
Ni 1.822 0.000 1.933
Ni 1.822 0.000 5.425
Ni 1.822 0.000 8.857
Ni 1.822 0.000 12.289
Ni 1.822 0.000 15.782
Ni 1.822 1.822 0.000
Ni 1.822 1.822 3.693
Ni 1.822 1.822 7.141
Ni 1.822 1.822 10.574
Ni 1.822 1.822 14.022
```

Calculated values
DOS(E_F) = 28.1 states/eV/f.u.
DFT total energy = -6.0754 eV/atom
spin magnetization = 3.124 μB/cell